Here is MgSi3Sn after structural relaxation from Alexandria via LeMat-Bulk. Energies are from PBEsol.

```
MgSi3Sn
1.0
5.096 0.000 0.000
0.000 5.096 0.000
0.000 0.000 5.096
Mg Si Sn
1 3 1
Cartesian
0.000 0.000 0.000 Mg
0.000 2.548 2.548 Si
2.548 0.000 2.548 Si
2.548 2.548 0.000 Si
2.548 2.548 2.548 Sn
```

Properties
SG   Pm-3m
Energy relative to the elements, uncorrected   111.14 kJ/mol of atoms
Calculated volume   132.37 Å³/cell

=====

Here is Mg4SiSn after structural relaxation from Alexandria via LeMat-Bulk. Energies are from PBEsol.

```
Mg4SiSn
1.0
2.312 1.335 7.542
-2.312 1.335 7.542
0.000 -2.670 7.542
Mg Si Sn
4 1 1
Cartesian
0.000 0.000 2.737 Mg
0.000 0.000 8.406 Mg
0.000 0.000 14.221 Mg
0.000 0.000 19.889 Mg
0.000 0.000 0.000 Si
0.000 0.000 11.313 Sn
```

Properties
SG   R-3m
Energy relative to the elements, uncorrected   -15.96 kJ/mol of atoms
Calculated volume   139.69 Å³/cell

=====

Here is Sr2MgSi after structural relaxation from Alexandria via LeMat-Bulk. Energies are from PBEsol.

```
Sr2MgSi
1.0
0.000 3.859 3.859
3.859 0.000 3.859
3.859 3.859 0.000
Sr Mg Si
2 1 1
Cartesian
0.000 0.000 0.000 Sr
1.929 1.929 1.929 Sr
3.859 3.859 3.859 Mg
5.788 5.788 5.788 Si
```

Properties
SG   F-43m
Energy relative to the elements, uncorrected   14.51 kJ/mol of atoms
Calculated volume   114.92 Å³/cell

=====

Here is Sr11Mg2Si10 after structural relaxation from Alexandria via LeMat-Bulk. Energies are from PBEsol.

```
Sr11Mg2Si10
1.0
9.760 -2.349 0.000
9.760 2.349 0.000
-5.554 0.000 13.642
Sr Mg Si
11 2 10
Cartesian
0.000 0.000 0.000 Sr
-1.054 0.000 6.022 Sr
-1.174 0.000 9.782 Sr
2.286 0.000 8.482 Sr
1.717 0.000 12.229 Sr
8.333 0.000 2.688 Sr
5.634 0.000 10.954 Sr
12.249 0.000 1.413 Sr
11.680 0.000 5.160 Sr
15.140 0.000 3.860 Sr
15.020 0.000 7.620 Sr
5.016 0.000 1.143 Mg
8.950 0.000 12.499 Mg
0.851 0.000 3.222 Si
-2.389 0.000 12.688 Si
3.274 0.000 3.450 Si
4.117 0.000 5.739 Si
6.560 0.000 5.674 Si
7.407 0.000 7.968 Si
9.850 0.000 7.903 Si
10.692 0.000 10.192 Si
16.355 0.000 0.954 Si
13.115 0.000 10.420 Si
```

Properties
SG   C2/m
Energy relative to the elements, uncorrected   -45.02 kJ/mol of atoms
Calculated volume   625.61 Å³/cell

=====

Here is SrMg2Si2 after structural relaxation from Alexandria via LeMat-Bulk. Energies are from PBEsol.

```
SrMg2Si2
1.0
8.267 0.000 0.000
0.000 8.267 0.000
0.000 0.000 3.107
Sr Mg Si
2 4 4
Cartesian
0.000 0.000 0.000 Sr
4.133 4.133 0.000 Sr
1.106 3.028 1.554 Mg
3.028 7.161 1.554 Mg
5.239 1.106 1.554 Mg
7.161 5.239 1.554 Mg
1.313 5.446 0.000 Si
2.821 1.313 0.000 Si
5.446 6.954 0.000 Si
6.954 2.821 0.000 Si
```

Properties
SG   P4/mbm
Energy relative to the elements, uncorrected   -4.38 kJ/mol of atoms
Calculated volume   212.34 Å³/cell

=====

Here is MgTa2TlSi after structural relaxation from Alexandria via LeMat-Bulk. Energies are from PBEsol.

```
MgTa2TlSi
1.0
4.841 0.000 0.000
0.000 4.841 0.000
0.000 0.000 4.467
Mg Ta Tl Si
1 2 1 1
Cartesian
0.000 0.000 0.000 Mg
0.000 2.421 0.000 Ta
2.421 0.000 0.000 Ta
2.421 2.421 2.234 Tl
0.000 0.000 2.234 Si
```

Properties
SG   P4/mmm
Energy relative to the elements, uncorrected   170.71 kJ/mol of atoms
Calculated volume   104.69 Å³/cell

=====

Here is MgSi2Tc2 after structural relaxation from Alexandria via LeMat-Bulk. Energies are from PBEsol.

```
MgSi2Tc2
1.0
6.811 0.000 0.000
0.000 6.811 0.000
0.000 0.000 3.007
Mg Si Tc
2 4 4
Cartesian
0.000 0.000 0.000 Mg
3.405 3.405 0.000 Mg
0.917 2.488 0.000 Si
2.488 5.894 0.000 Si
4.323 0.917 0.000 Si
5.894 4.323 0.000 Si
1.063 4.469 1.504 Tc
2.342 1.063 1.504 Tc
4.469 5.748 1.504 Tc
5.748 2.342 1.504 Tc
```

Properties
SG   P4/mbm
Energy relative to the elements, uncorrected   -40.37 kJ/mol of atoms
Calculated volume   139.50 Å³/cell

=====

Here is MgSiTc after structural relaxation from Alexandria via LeMat-Bulk. Energies are from PBEsol.

```
MgSiTc
1.0
2.920 0.000 0.000
-1.460 2.529 0.000
0.000 0.000 6.365
Mg Si Tc
1 1 1
Cartesian
0.000 0.000 0.000 Mg
0.000 1.686 4.009 Si
1.460 0.843 2.258 Tc
```

Properties
SG   P3m1
Energy relative to the elements, uncorrected   5.24 kJ/mol of atoms
Calculated volume   47.01 Å³/cell

=====

Here is MgSi3Tc after structural relaxation from Alexandria via LeMat-Bulk. Energies are from PBEsol.

```
MgSi3Tc
1.0
4.657 0.000 0.000
0.000 4.657 0.000
0.000 0.000 4.657
Mg Si Tc
1 3 1
Cartesian
0.000 0.000 0.000 Mg
0.000 2.328 2.328 Si
2.328 0.000 2.328 Si
2.328 2.328 0.000 Si
2.328 2.328 2.328 Tc
```

Properties
SG   Pm-3m
Energy relative to the elements, uncorrected   35.71 kJ/mol of atoms
Calculated volume   100.98 Å³/cell

=====

Here is Mg2SiTe after structural relaxation from Alexandria via LeMat-Bulk. Energies are from PBEsol.

```
Mg2SiTe
1.0
0.000 3.506 3.506
3.506 0.000 3.506
3.506 3.506 0.000
Mg Si Te
2 1 1
Cartesian
0.000 0.000 0.000 Mg
1.753 1.753 1.753 Mg
5.259 5.259 5.259 Si
3.506 3.506 3.506 Te
```

Properties
SG   F-43m
Energy relative to the elements, uncorrected   17.23 kJ/mol of atoms
E above lowest polymorph   265.5 meV per atom
Calculated volume   86.18 Å³/cell

=====

Here is Mg2SiTe after structural relaxation from Alexandria via LeMat-Bulk. Energies are from PBEsol.

```
Mg2SiTe
1.0
3.712 0.000 0.000
0.000 3.712 0.000
0.000 0.000 6.167
Mg Si Te
2 1 1
Cartesian
0.000 0.000 1.437 Mg
0.000 0.000 4.729 Mg
1.856 1.856 0.000 Si
1.856 1.856 3.083 Te
```

Properties
SG   P4/mmm
Energy relative to the elements, uncorrected   -8.39 kJ/mol of atoms
E above lowest polymorph   0.0 meV per atom
Calculated volume   84.99 Å³/cell

=====

Here is Mg2SiTe after structural relaxation from Alexandria via LeMat-Bulk. Energies are from PBEsol.

```
Mg2SiTe
1.0
-2.047 2.603 4.047
2.047 -2.603 4.047
2.047 2.603 -4.047
Mg Si Te
2 1 1
Cartesian
0.000 0.000 1.856 Mg
0.000 0.000 6.238 Mg
2.047 0.000 0.000 Si
0.000 2.603 0.000 Te
```

Properties
SG   Immm
Energy relative to the elements, uncorrected   -1.94 kJ/mol of atoms
E above lowest polymorph   66.8 meV per atom
Calculated volume   86.27 Å³/cell

=====

Here is Mg2SiTe after structural relaxation from Alexandria via LeMat-Bulk. Energies are from PBEsol.

```
Mg2SiTe
1.0
-1.915 1.935 6.170
1.915 -1.935 6.170
1.915 1.935 -6.170
Mg Si Te
2 1 1
Cartesian
0.000 0.000 0.000 Mg
0.000 1.935 3.400 Mg
0.000 0.000 5.407 Si
1.915 0.000 2.259 Te
```

Properties
SG   Imm2
Energy relative to the elements, uncorrected   -6.82 kJ/mol of atoms
E above lowest polymorph   16.3 meV per atom
Calculated volume   91.43 Å³/cell

=====

Here is MgTl2Si after structural relaxation from Alexandria via LeMat-Bulk. Energies are from PBEsol.

```
MgTl2Si
1.0
3.489 0.000 0.000
0.000 4.982 0.000
0.000 0.000 5.333
Mg Tl Si
1 2 1
Cartesian
0.000 0.000 0.000 Mg
0.000 2.491 2.666 Tl
1.744 2.491 0.000 Tl
1.744 0.000 2.666 Si
```

Properties
SG   Pmmm
Energy relative to the elements, uncorrected   24.19 kJ/mol of atoms
Calculated volume   92.69 Å³/cell

=====

Here is MgTl2Si after structural relaxation from Alexandria via LeMat-Bulk. Energies are from PBEsol.

```
MgTl2Si
1.0
3.748 0.000 0.000
0.000 3.748 0.000
0.000 0.000 6.543
Mg Tl Si
1 2 1
Cartesian
0.000 0.000 0.000 Mg
1.874 1.874 1.707 Tl
1.874 1.874 4.836 Tl
0.000 0.000 3.271 Si
```

Properties
SG   P4/mmm
Energy relative to the elements, uncorrected   23.71 kJ/mol of atoms
Calculated volume   91.91 Å³/cell

=====

Here is Mg2TlSi after structural relaxation from Alexandria via LeMat-Bulk. Energies are from PBEsol.

```
Mg2TlSi
1.0
3.272 0.000 0.000
0.000 3.651 0.000
0.000 0.000 6.933
Mg Tl Si
2 1 1
Cartesian
0.000 0.000 1.508 Mg
0.000 0.000 5.425 Mg
1.636 1.826 3.466 Tl
1.636 1.826 0.000 Si
```

Properties
SG   Pmmm
Energy relative to the elements, uncorrected   2.67 kJ/mol of atoms
Calculated volume   82.82 Å³/cell

=====

Here is MgTl2Si after structural relaxation from Alexandria via LeMat-Bulk. Energies are from PBEsol.

```
MgTl2Si
1.0
2.305 -2.445 0.000
2.305 2.445 0.000
0.000 0.000 8.182
Mg Tl Si
1 2 1
Cartesian
0.000 0.000 0.000 Mg
2.305 0.000 2.149 Tl
2.305 0.000 6.033 Tl
0.000 0.000 4.091 Si
```

Properties
SG   Cmmm
Energy relative to the elements, uncorrected   24.33 kJ/mol of atoms
Calculated volume   92.22 Å³/cell

=====

Here is MgTl2Si after structural relaxation from Alexandria via LeMat-Bulk. Energies are from PBEsol.

```
MgTl2Si
1.0
-2.266 2.266 4.478
2.266 -2.266 4.478
2.266 2.266 -4.478
Mg Tl Si
1 2 1
Cartesian
0.000 0.000 0.000 Mg
2.266 0.000 2.239 Tl
0.000 2.266 2.239 Tl
0.000 0.000 4.478 Si
```

Properties
SG   I4/mmm
Energy relative to the elements, uncorrected   21.74 kJ/mol of atoms
Calculated volume   91.94 Å³/cell

=====

Here is Mg2TlSi after structural relaxation from Alexandria via LeMat-Bulk. Energies are from PBEsol.

```
Mg2TlSi
1.0
4.538 0.000 0.000
0.000 4.538 0.000
0.000 0.000 3.985
Mg Tl Si
2 1 1
Cartesian
0.000 2.269 0.000 Mg
2.269 0.000 0.000 Mg
0.000 0.000 1.993 Tl
2.269 2.269 1.993 Si
```

Properties
SG   P4/mmm
Energy relative to the elements, uncorrected   5.20 kJ/mol of atoms
Calculated volume   82.08 Å³/cell

=====

Here is MgTl2Si after structural relaxation from Alexandria via LeMat-Bulk. Energies are from PBEsol.

```
MgTl2Si
1.0
3.361 0.000 0.000
0.000 3.361 0.000
0.000 0.000 8.274
Mg Tl Si
1 2 1
Cartesian
0.000 0.000 0.000 Mg
0.000 0.000 3.521 Tl
1.681 1.681 6.099 Tl
1.681 1.681 1.489 Si
```

Properties
SG   P4mm
Energy relative to the elements, uncorrected   13.25 kJ/mol of atoms
Calculated volume   93.47 Å³/cell

=====

Here is Tm2MgSi2 after structural relaxation from Alexandria via LeMat-Bulk. Energies are from PBEsol.

```
Tm2MgSi2
1.0
7.029 0.000 0.000
0.000 7.029 0.000
0.000 0.000 4.098
Tm Mg Si
4 2 4
Cartesian
1.249 2.266 0.000 Tm
2.266 5.781 0.000 Tm
4.763 1.249 0.000 Tm
5.781 4.763 0.000 Tm
0.000 0.000 2.049 Mg
3.515 3.515 2.049 Mg
0.839 4.354 2.049 Si
2.675 0.839 2.049 Si
4.354 6.190 2.049 Si
6.190 2.675 2.049 Si
```

Properties
SG   P4/mbm
Energy relative to the elements, uncorrected   -72.05 kJ/mol of atoms
Calculated volume   202.47 Å³/cell

=====

Here is Mg2SiW after structural relaxation from Alexandria via LeMat-Bulk. Energies are from PBEsol.

```
Mg2SiW
1.0
2.800 0.000 0.000
0.000 2.800 0.000
0.000 0.000 8.676
Mg Si W
2 1 1
Cartesian
0.000 0.000 0.000 Mg
1.400 1.400 2.530 Mg
0.000 0.000 4.649 Si
1.400 1.400 6.473 W
```

Properties
SG   P4mm
Energy relative to the elements, uncorrected   25.97 kJ/mol of atoms
Calculated volume   68.02 Å³/cell

=====

Here is Mg2SiW after structural relaxation from Alexandria via LeMat-Bulk. Energies are from PBEsol.

```
Mg2SiW
1.0
-1.950 1.950 4.113
1.950 -1.950 4.113
1.950 1.950 -4.113
Mg Si W
2 1 1
Cartesian
0.000 0.000 0.000 Mg
0.000 1.950 2.056 Mg
0.000 0.000 4.113 Si
1.950 0.000 2.056 W
```

Properties
SG   I-4m2
Energy relative to the elements, uncorrected   19.89 kJ/mol of atoms
Calculated volume   62.52 Å³/cell

=====

Here is MgSi2W after structural relaxation from Alexandria via LeMat-Bulk. Energies are from PBEsol.

```
MgSi2W
1.0
4.174 -1.550 0.000
4.174 1.550 0.000
-1.140 0.000 5.062
Mg Si W
1 2 1
Cartesian
0.000 0.000 0.000 Mg
1.198 0.000 3.429 Si
6.009 0.000 1.633 Si
3.604 0.000 2.531 W
```

Properties
SG   C2/m
Energy relative to the elements, uncorrected   2.88 kJ/mol of atoms
Calculated volume   65.49 Å³/cell

=====

Here is MgSi2W after structural relaxation from Alexandria via LeMat-Bulk. Energies are from PBEsol.

```
MgSi2W
1.0
3.236 0.000 0.000
0.000 3.236 0.000
0.000 0.000 5.873
Mg Si W
1 2 1
Cartesian
0.000 0.000 0.000 Mg
1.618 1.618 1.674 Si
1.618 1.618 4.199 Si
0.000 0.000 2.936 W
```

Properties
SG   P4/mmm
Energy relative to the elements, uncorrected   -1.96 kJ/mol of atoms
Calculated volume   61.49 Å³/cell

=====

Here is YMg4Si after structural relaxation from Alexandria via LeMat-Bulk. Energies are from PBEsol.

```
YMg4Si
1.0
0.000 4.082 4.082
4.082 0.000 4.082
4.082 4.082 0.000
Y Mg Si
1 4 1
Cartesian
0.000 0.000 0.000 Y
3.064 3.064 3.064 Mg
5.101 5.101 3.064 Mg
5.101 3.064 5.101 Mg
3.064 5.101 5.101 Mg
6.123 6.123 6.123 Si
```

Properties
SG   F-43m
Energy relative to the elements, uncorrected   17.28 kJ/mol of atoms
Calculated volume   136.06 Å³/cell

=====

Here is YMg2Si after structural relaxation from Alexandria via LeMat-Bulk. Energies are from PBEsol.

```
YMg2Si
1.0
0.000 3.466 3.466
3.466 0.000 3.466
3.466 3.466 0.000
Y Mg Si
1 2 1
Cartesian
0.000 0.000 0.000 Y
1.733 1.733 1.733 Mg
3.466 3.466 3.466 Mg
5.200 5.200 5.200 Si
```

Properties
SG   F-43m
Energy relative to the elements, uncorrected   -10.99 kJ/mol of atoms
Calculated volume   83.30 Å³/cell

=====

Here is MgZnSi2 after structural relaxation from Alexandria via LeMat-Bulk. Energies are from PBEsol.

```
MgZnSi2
1.0
-1.944 1.944 4.164
1.944 -1.944 4.164
1.944 1.944 -4.164
Mg Zn Si
1 1 2
Cartesian
0.000 0.000 0.000 Mg
0.000 0.000 4.164 Zn
1.944 0.000 2.082 Si
0.000 1.944 2.082 Si
```

Properties
SG   I4/mmm
Energy relative to the elements, uncorrected   14.68 kJ/mol of atoms
Calculated volume   62.98 Å³/cell